Material: UReNi
Method: DFT, GGA-PBE
State: relaxed

Output
Excess energy over the best structure of this formula in the dataset in kJ per mole of atoms: 0.0

Cell: 3.9643 3.8117 6.7718 Å, 90.00 107.02 90.00°
Last column: nearest neighbours and their distance in Å.
Atoms (fractional coordinates):
Re 0.5944 0.2500 0.1888  4 U 2.75, 4 Ni 2.80
Re 0.4056 0.7500 0.8112  4 U 2.75, 4 Ni 2.80
U 0.9020 0.2500 0.8041  4 Ni 2.72-2.82, 4 Re 2.75
U 0.0980 0.7500 0.1959  4 Ni 2.72-2.82, 4 Re 2.75
Ni 0.2473 0.2500 0.4947  4 U 2.72-2.82, 4 Ni 2.75, 4 Re 2.80
Ni 0.7527 0.7500 0.5053  4 U 2.72-2.82, 4 Ni 2.75, 4 Re 2.80

Material: URe2Ni
Method: DFT, GGA-PBE
State: relaxed

Output
Excess energy over the best structure of this formula in the dataset in kJ per mole of atoms: 0.0

Cell: 3.8848 4.0419 4.0419 Å, 90.00 90.00 90.00°
Last column: nearest neighbours and their distance in Å.
Atoms (fractional coordinates):
Re 0.0000 0.5000 0.0000  4 Ni 2.80, 4 U 2.80, 4 Re 2.86
Re 0.0000 0.0000 0.5000  4 U 2.80, 4 Ni 2.80, 4 Re 2.86
U 0.5000 0.5000 0.5000  8 Re 2.80, 4 Ni 2.86
Ni 0.5000 0.0000 0.0000  8 Re 2.80, 4 U 2.86

Material: URe2Ni
Method: DFT, GGA-PBE
State: relaxed

Output
Excess energy over the best structure of this formula in the dataset in kJ per mole of atoms: 22.9

Cell: 4.5036 4.5036 4.8847 Å, 62.55 62.55 60.00°
Last column: nearest neighbours and their distance in Å.
Atoms (fractional coordinates):
Ni 0.5000 0.5000 0.5000  6 Re 2.62
U 0.0000 0.0000 0.0000  2 Re 2.42
Re 0.8045 0.8045 0.5864  1 U 2.42, 3 Ni 2.62, 3 Re 2.70
Re 0.1955 0.1955 0.4136  1 U 2.42, 3 Ni 2.62, 3 Re 2.70

Material: VReNi4
Method: DFT, GGA-PBE
State: relaxed

Output
Excess energy over the best structure of this formula in the dataset in kJ per mole of atoms: 5.8

Cell: 4.6452 4.6452 4.6452 Å, 60.00 60.00 60.00°
Last column: nearest neighbours and their distance in Å.
Atoms (fractional coordinates):
Ni 0.1240 0.6253 0.6253  6 Ni 2.32-2.33
Ni 0.6253 0.6253 0.1240  6 Ni 2.32-2.33
Ni 0.6253 0.1240 0.6253  6 Ni 2.32-2.33
Ni 0.6253 0.6253 0.6253  6 Ni 2.32-2.33
Re 0.0000 0.0000 0.0000  12 Ni 2.72, 4 V 2.84
V 0.2500 0.2500 0.2500  12 Ni 2.72, 4 Re 2.84

Material: VReNi14
Method: DFT, GGA-PBE
State: relaxed

Cell: 5.0428 5.0428 7.0342 Å, 90.00 90.00 90.00°
Last column: nearest neighbours and their distance in Å.
Atoms (fractional coordinates):
Ni 0.8750 0.3750 0.5000  8 Ni 2.50, 2 Re 2.52, 2 V 2.52
Ni 0.1261 0.6239 0.7496  1 V 2.50, 10 Ni 2.50-2.53, 1 Re 2.51
Ni 0.3750 0.3750 0.0000  12 Ni 2.50-2.52
Ni 0.3750 0.8750 0.0000  12 Ni 2.51-2.52
Ni 0.6239 0.1261 0.2504  1 V 2.50, 10 Ni 2.50-2.53, 1 Re 2.51
Ni 0.6239 0.6239 0.7496  1 V 2.50, 10 Ni 2.50-2.53, 1 Re 2.51
Ni 0.6239 0.1261 0.7496  1 V 2.50, 10 Ni 2.50-2.53, 1 Re 2.51
Ni 0.8750 0.8750 0.0000  12 Ni 2.51-2.52
Ni 0.1261 0.1261 0.2504  1 V 2.50, 10 Ni 2.50-2.53, 1 Re 2.51
Ni 0.1261 0.1261 0.7496  1 V 2.50, 10 Ni 2.50-2.53, 1 Re 2.51
Ni 0.8750 0.3750 0.0000  12 Ni 2.51-2.52
Ni 0.3750 0.8750 0.5000  8 Ni 2.50, 2 Re 2.52, 2 V 2.52
Ni 0.1261 0.6239 0.2504  1 V 2.50, 10 Ni 2.50-2.53, 1 Re 2.51
Ni 0.6239 0.6239 0.2504  1 V 2.50, 10 Ni 2.50-2.53, 1 Re 2.51
V 0.3750 0.3750 0.5000  12 Ni 2.50-2.52
Re 0.8750 0.8750 0.5000  12 Ni 2.51-2.52

Material: VRe2Ni2
Method: DFT, GGA-PBE
State: relaxed

Cell: 6.1130 6.1130 3.5308 Å, 90.00 90.00 90.00°
Last column: nearest neighbours and their distance in Å.
Atoms (fractional coordinates):
Ni 0.1316 0.3684 0.0000  1 Ni 2.28, 2 V 2.39, 6 Re 2.49-2.54
Ni 0.8684 0.6316 0.0000  1 Ni 2.28, 2 V 2.39, 6 Re 2.49-2.54
Ni 0.3684 0.8684 0.0000  1 Ni 2.28, 2 V 2.39, 6 Re 2.49-2.54
Ni 0.6316 0.1316 0.0000  1 Ni 2.28, 2 V 2.39, 6 Re 2.49-2.54
V 0.0000 0.0000 0.0000  4 Ni 2.39
V 0.5000 0.5000 0.0000  4 Ni 2.39
Re 0.8349 0.3349 0.5000  6 Ni 2.49-2.54
Re 0.3349 0.1651 0.5000  6 Ni 2.49-2.54
Re 0.6651 0.8349 0.5000  6 Ni 2.49-2.54
Re 0.1651 0.6651 0.5000  6 Ni 2.49-2.54

Material: VReNi4
Method: DFT, GGA-PBE
State: relaxed

Output
Excess energy over the best structure of this formula in the dataset in kJ per mole of atoms: 0.0

Cell: 2.5877 2.5877 10.7002 Å, 90.00 90.00 90.00°
Last column: nearest neighbours and their distance in Å.
Atoms (fractional coordinates):
Ni 0.5000 0.4998 0.8349  8 Ni 2.52-2.59, 4 V 2.54
Ni 0.0000 0.9999 0.6725  8 Ni 2.52-2.59, 4 Re 2.60
Ni 0.5000 0.5002 0.1651  8 Ni 2.52-2.59, 4 V 2.54
Ni 0.0000 0.0001 0.3275  8 Ni 2.52-2.59, 4 Re 2.60
V 0.0000 0.0000 0.0000  8 Ni 2.54, 4 V 2.59
Re 0.5000 0.5000 0.5000  4 Re 2.59, 8 Ni 2.60

Material: VReNi2
Method: DFT, GGA-PBE
State: relaxed

Cell: 3.5130 3.5130 9.0904 Å, 78.86 78.86 90.00°
Last column: nearest neighbours and their distance in Å.
Atoms (fractional coordinates):
Re 0.0000 0.0000 0.0000  4 V 2.48, 4 Ni 2.52
Re 0.7500 0.2500 0.5000  4 V 2.48, 4 Ni 2.52
Ni 0.3750 0.3774 0.7500  4 Ni 2.47-2.50, 2 V 2.51, 2 Re 2.52
Ni 0.1274 0.6250 0.2500  4 Ni 2.47-2.50, 2 V 2.51, 2 Re 2.52
Ni 0.6226 0.1250 0.2500  4 Ni 2.47-2.50, 2 V 2.51, 2 Re 2.52
Ni 0.8750 0.8726 0.7500  4 Ni 2.47-2.50, 2 V 2.51, 2 Re 2.52
V 0.2500 0.7500 0.5000  4 Re 2.48, 4 Ni 2.51
V 0.5000 0.5000 0.0000  4 Re 2.48, 4 Ni 2.51

Material: V2ReNi9
Method: DFT, GGA-PBE
State: relaxed

Cell: 3.5911 3.5911 10.7555 Å, 90.00 90.00 90.00°
Last column: nearest neighbours and their distance in Å.
Atoms (fractional coordinates):
V 0.0000 0.0000 0.6647  12 Ni 2.52-2.54
V 0.0000 0.0000 0.3353  12 Ni 2.52-2.54
Ni 0.5000 0.0000 0.8302  2 V 2.53, 8 Ni 2.53-2.56, 2 Re 2.56
Ni 0.0000 0.5000 0.5000  8 Ni 2.52-2.54, 4 V 2.52
Ni 0.0000 0.5000 0.1698  2 V 2.53, 8 Ni 2.53-2.56, 2 Re 2.56
Ni 0.5000 0.5000 0.3355  8 Ni 2.52-2.53, 4 V 2.54
Ni 0.5000 0.0000 0.5000  8 Ni 2.52-2.54, 4 V 2.52
Ni 0.5000 0.5000 0.0000  4 Re 2.54, 8 Ni 2.56
Ni 0.5000 0.0000 0.1698  2 V 2.53, 8 Ni 2.53-2.56, 2 Re 2.56
Ni 0.5000 0.5000 0.6645  8 Ni 2.52-2.53, 4 V 2.54
Ni 0.0000 0.5000 0.8302  2 V 2.53, 8 Ni 2.53-2.56, 2 Re 2.56
Re 0.0000 0.0000 0.0000  12 Ni 2.54-2.56

Material: V3ReNi
Method: DFT, GGA-PBE
State: relaxed

Output
Excess energy over the best structure of this formula in the dataset in kJ per mole of atoms: 34.1

Cell: 4.5377 4.5377 4.5377 Å, 90.00 90.00 90.00°
Last column: nearest neighbours and their distance in Å.
Atoms (fractional coordinates):
V 0.0000 0.0000 0.5000  2 Re 2.27
V 0.5000 0.0000 0.0000  2 Re 2.27
V 0.0000 0.5000 0.0000  2 Re 2.27
Re 0.0000 0.0000 0.0000  6 V 2.27
Ni 0.5000 0.5000 0.5000  12 V 3.21

Material: VReNi
Method: DFT, GGA-PBE
State: relaxed

Output
Excess energy over the best structure of this formula in the dataset in kJ per mole of atoms: 94.0

Cell: 4.7787 6.4984 6.4984 Å, 90.00 90.00 90.00°
Last column: nearest neighbours and their distance in Å.
Atoms (fractional coordinates):
Re 0.5000 0.8013 0.5000  4 V 2.43-2.44, 2 Ni 2.45, 1 Re 2.58
Re 0.0000 0.5000 0.1987  4 V 2.43-2.44, 2 Ni 2.45, 1 Re 2.58
Re 0.0000 0.5000 0.8013  4 V 2.43-2.44, 2 Ni 2.45, 1 Re 2.58
Re 0.5000 0.1987 0.5000  4 V 2.43-2.44, 2 Ni 2.45, 1 Re 2.58
Ni 0.5000 0.0000 0.8203  1 Ni 2.33, 2 Re 2.45
Ni 0.0000 0.8203 0.0000  1 Ni 2.33, 2 Re 2.45
Ni 0.5000 0.0000 0.1797  1 Ni 2.33, 2 Re 2.45
Ni 0.0000 0.1797 0.0000  1 Ni 2.33, 2 Re 2.45
V 0.0000 0.7216 0.5000  4 Re 2.43-2.44
V 0.5000 0.5000 0.2784  4 Re 2.43-2.44
V 0.5000 0.5000 0.7216  4 Re 2.43-2.44
V 0.0000 0.2784 0.5000  4 Re 2.43-2.44

Material: VReNi3
Method: DFT, GGA-PBE
State: relaxed

Output
Excess energy over the best structure of this formula in the dataset in kJ per mole of atoms: 0.0

Cell: 4.1475 4.1475 4.1475 Å, 90.00 90.00 90.00°
Last column: nearest neighbours and their distance in Å.
Atoms (fractional coordinates):
Ni 0.0000 0.0000 0.5000  2 V 2.07
Ni 0.5000 0.0000 0.0000  2 V 2.07
Ni 0.0000 0.5000 0.0000  2 V 2.07
V 0.0000 0.0000 0.0000  6 Ni 2.07
Re 0.5000 0.5000 0.5000  12 Ni 2.93

Number 1: VASP energy -9.852 eV/atom, volume 16.31 Å³/atom, ΔE_f -0.013 eV/atom. Number 2: VASP energy -10.483 eV/atom, volume 15.87 Å³/atom, ΔE_f 0.008 eV/atom. Number 3: VASP energy -10.246 eV/atom, volume 18.16 Å³/atom, ΔE_f 0.245 eV/atom. Number 4: VASP energy -7.459 eV/atom, volume 11.81 Å³/atom, ΔE_f -0.011 eV/atom. Number 5: VASP energy -6.460 eV/atom, volume 11.18 Å³/atom, ΔE_f -0.053 eV/atom. Number 6: VASP energy -8.929 eV/atom, volume 13.19 Å³/atom, ΔE_f 0.187 eV/atom. Number 7: VASP energy -7.520 eV/atom, volume 11.94 Å³/atom, ΔE_f -0.071 eV/atom. Number 8: VASP energy -7.868 eV/atom, volume 13.49 Å³/atom, ΔE_f 0.414 eV/atom. Number 9: VASP energy -6.936 eV/atom, volume 11.56 Å³/atom, ΔE_f -0.043 eV/atom. Number 10: VASP energy -7.709 eV/atom, volume 18.69 Å³/atom, ΔE_f 1.408 eV/atom. Number 11: VASP energy -8.195 eV/atom, volume 16.82 Å³/atom, ΔE_f 0.921 eV/atom. Number 12: VASP energy -6.422 eV/atom, volume 14.27 Å³/atom, ΔE_f 1.360 eV/atom.